Entry from the Alexandria database: a relaxed structure of Cd4Cl (PBE).

As for the formation energy from raw total energies: 0.766 eV per formula unit. As for the crystal system: cubic. Its density of states at the Fermi level is 3.07 states/eV/f.u. Its uncorrected energy is -4.74 eV/cell. The offset from the most stable computed form comes out at 26.22 kJ/mol of atoms.

Cell and atoms, written as extended XYZ:
```
5
Lattice="5.367 -1.999 1.410 -2.356 2.757 4.652 -3.441 -4.532 -1.550" Properties=species:S:1:pos:R:3 pbc="T T T"
Cd -1.178 1.378 2.326
Cd -1.721 -2.266 -0.775
Cd 2.684 -0.999 0.705
Cd -0.215 -1.887 2.256
Cl 0.000 0.000 0.000
```